--- w ---
Density functional theory data (PBE) for LiPuInAu after structural relaxation.

Properties
total moment: 5.25 μB/f.u.

Unit cell a=4.9335 b=4.9335 c=4.9335 alpha=60.00 beta=60.00 gamma=60.00
Positions (direct):
In  0.0000  0.0000  0.0000
Au  0.2500  0.2500  0.2500
Li  0.7500  0.7500  0.7500
Pu  0.5000  0.5000  0.5000

=====

--- x ---
Density functional theory data (PBE) for LiPuInAu after structural relaxation.

Properties
total moment: 5.65 μB/f.u.

Unit cell a=3.2581 b=3.2581 c=7.7815 alpha=90.00 beta=90.00 gamma=90.00
Positions (direct):
Li  0.0000  0.0000  0.5448
Pu  0.0000  0.0000  0.0930
In  0.5000  0.5000  0.7777
Au  0.5000  0.5000  0.3693

=====

x ends up most stable, edging out the next structure by 78 meV per atom.

=====

--- w ---
Density functional theory data (PBE) for LiTiInAu after structural relaxation.

Properties
total moment: 0.00 μB/f.u.

Unit cell a=3.1055 b=3.1055 c=7.2020 alpha=90.00 beta=90.00 gamma=90.00
Positions (direct):
Li  0.0000  0.0000  0.5497
Ti  0.0000  0.0000  0.0890
In  0.5000  0.5000  0.8108
Au  0.5000  0.5000  0.3352

=====

--- x ---
Density functional theory data (PBE) for LiTiInAu after structural relaxation.

Properties
total moment: 0.00 μB/f.u.

Unit cell a=4.6260 b=4.6260 c=4.6260 alpha=60.00 beta=60.00 gamma=60.00
Positions (direct):
Ti  0.7500  0.7500  0.7500
Au  0.0000  0.0000  0.0000
Li  0.2500  0.2500  0.2500
In  0.5000  0.5000  0.5000

=====

w ends up most stable, edging out the next structure by 32 meV per atom.

=====

--- w ---
Density functional theory data (PBE) for Mg4InAu2 after structural relaxation.

Properties
total moment: 0.00 μB/f.u.

Unit cell a=4.6747 b=4.6747 c=8.1929 alpha=73.42 beta=73.42 gamma=60.00
Positions (direct):
Mg  0.8681  0.8681  0.3956
Mg  0.1319  0.1319  0.6044
Mg  0.6107  0.6107  0.1679
Mg  0.3893  0.3893  0.8321
In  0.0000  0.0000  0.0000
Au  0.7503  0.7503  0.7490
Au  0.2497  0.2497  0.2510

=====

--- x ---
Density functional theory data (PBE) for Mg4InAu2 after structural relaxation.

Properties
total moment: 0.00 μB/f.u.

Unit cell a=4.4217 b=4.4217 c=9.9585 alpha=77.17 beta=77.17 gamma=60.00
Positions (direct):
Mg  0.3951  0.3951  0.8146
Mg  0.1974  0.1974  0.4078
Mg  0.8026  0.8026  0.5922
Mg  0.6049  0.6049  0.1854
In  0.0000  0.0000  0.0000
Au  0.0999  0.0999  0.7004
Au  0.9001  0.9001  0.2996

=====

w ends up most stable, edging out the next structure by 58 meV per atom.

=====

--- w ---
Density functional theory data (PBE) for Mg2InAu2 after structural relaxation.

Properties
total moment: 0.00 μB/f.u.

Unit cell a=4.2176 b=4.2176 c=6.8652 alpha=72.11 beta=72.11 gamma=90.00
Positions (direct):
Mg  0.7500  0.2500  0.5000
Mg  0.2500  0.7500  0.5000
Au  0.3879  0.3879  0.2241
Au  0.6121  0.6121  0.7759
In  0.0000  0.0000  0.0000

=====

--- x ---
Density functional theory data (PBE) for Mg2InAu2 after structural relaxation.

Properties
total moment: 0.00 μB/f.u.

Unit cell a=3.9358 b=3.9358 c=7.6837 alpha=75.16 beta=75.16 gamma=90.00
Positions (direct):
Mg  0.3890  0.3890  0.2220
Mg  0.6110  0.6110  0.7780
Au  0.7500  0.2500  0.5000
Au  0.2500  0.7500  0.5000
In  0.0000  0.0000  0.0000

=====

w ends up most stable, edging out the next structure by 100 meV per atom.